The following is a DFT calculation (PBE with a Hubbard U) of an optimized crystal structure of LiTl3Fe2F9.

Calculated values
DOS at the Fermi energy = 0.3821 states/eV/atom
symmetry = P-3m1 (164)
DFT total energy = -4.722 eV/atom

Cell: 5.953 5.953 7.247 Å, 90.00 90.00 120.00°
Positions (direct):
Li 0.000 0.000 0.000
Tl 0.000 0.000 0.500
Tl 0.333 0.667 0.148
Tl 0.667 0.333 0.852
Fe 0.333 0.667 0.667
Fe 0.667 0.333 0.333
F 0.000 0.500 0.500
F 0.172 0.344 0.821
F 0.172 0.828 0.821
F 0.344 0.172 0.179
F 0.500 0.000 0.500
F 0.500 0.500 0.500
F 0.656 0.828 0.821
F 0.828 0.172 0.179
F 0.828 0.656 0.179